# 1
Compound: Y2NbW
Source: OQMD via LeMat-Bulk
Functional: PBE
Structure: relaxed

Output
ΔH_f (0 K)	505	meV per atom
V	88	Å³ per cell

Cell: 4.988 4.988 4.988 Å, 60.00 60.00 60.00°
Fractional positions:
Nb: 0.750 0.750 0.750
Y: 0.000 0.000 0.000
W: 0.500 0.500 0.500
Y: 0.250 0.250 0.250



# 2
Compound: NbZnW
Source: OQMD via LeMat-Bulk
Functional: PBE
Structure: relaxed

Output
ΔH_f (0 K)	1040	meV per atom
V	59	Å³ per cell

Cell: 4.375 4.375 4.375 Å, 60.00 60.00 60.00°
Fractional positions:
Zn: 0.750 0.750 0.750
Nb: 0.250 0.250 0.250
W: 0.000 0.000 0.000



# 3
Compound: NbZnW2
Source: OQMD via LeMat-Bulk
Functional: PBE
Structure: relaxed

Output
ΔH_f (0 K)	254	meV per atom
V	65	Å³ per cell

Cell: 4.510 4.510 4.510 Å, 60.00 60.00 60.00°
Fractional positions:
W: 0.750 0.750 0.750
Zn: 0.250 0.250 0.250
Nb: 0.500 0.500 0.500
W: 0.000 0.000 0.000



# 4
Compound: ZrNbW6
Source: OQMD via LeMat-Bulk
Functional: PBE
Structure: relaxed

Output
ΔH_f (0 K)	9	meV per atom
V	135	Å³ per cell

Cell: 4.568 4.568 6.465 Å, 90.00 90.00 90.00°
Fractional positions:
W: 0.500 0.000 0.746
Zr: 0.500 0.500 0.000
Nb: 0.000 0.000 0.500
W: 0.000 0.500 0.254
W: 0.000 0.500 0.746
W: 0.500 0.500 0.500
W: 0.000 0.000 0.000
W: 0.500 0.000 0.254



# 5
Compound: Y2Nb
Source: OQMD via LeMat-Bulk
Functional: PBE
Structure: relaxed

Output
ΔH_f (0 K)	948	meV per atom
V	157	Å³ per cell

Cell: 6.051 6.051 6.051 Å, 60.00 60.00 60.00°
Fractional positions:
Y: 0.625 0.125 0.625
Nb: 0.250 0.250 0.250
Nb: 0.000 0.000 0.000
Y: 0.125 0.625 0.625
Y: 0.625 0.625 0.625
Y: 0.625 0.625 0.125



# 6
Compound: YNb2
Source: OQMD via LeMat-Bulk
Functional: PBE
Structure: relaxed

Output
ΔH_f (0 K)	204	meV per atom
V	134	Å³ per cell

Cell: 5.743 5.743 5.743 Å, 60.00 60.00 60.00°
Fractional positions:
Nb: 0.625 0.625 0.125
Nb: 0.625 0.125 0.625
Y: 0.250 0.250 0.250
Y: 0.000 0.000 0.000
Nb: 0.125 0.625 0.625
Nb: 0.625 0.625 0.625